No. 1
Density functional theory data (PBE-GGA) for AcZnHg after structural relaxation.

Values from the calculation:
excess energy over the best structure of this formula in the dataset = 0.069 eV per atom
space-group type = F-43m, No. 216
total magnetization = 0.5 μB/f.u.
volume = 94.0 Å³/f.u.

Lattice parameters (Å, degrees): 5.103 5.103 5.103 60.00 60.00 60.00
Positions (direct):
Zn  0.750  0.750  0.750
Hg  0.000  0.000  0.000
Ac  0.250  0.250  0.250

=====

No. 2
Density functional theory data (PBE-GGA) for AcZnHg after structural relaxation.

Values from the calculation:
excess energy over the best structure of this formula in the dataset = 0.000 eV per atom
space-group type = F-43m, No. 216
total magnetization = 0.1 μB/f.u.
volume = 89.0 Å³/f.u.

Lattice parameters (Å, degrees): 5.012 5.012 5.012 60.00 60.00 60.00
Positions (direct):
Hg  0.750  0.750  0.750
Ac  0.250  0.250  0.250
Zn  0.000  0.000  0.000

=====

No. 3
Density functional theory data (PBE-GGA) for AcZrHg after structural relaxation.

Values from the calculation:
space-group type = F-43m, No. 216
total magnetization = 1.5 μB/f.u.
energy = -12.04 eV per formula unit
volume = 99.8 Å³/f.u.

Lattice parameters (Å, degrees): 5.207 5.207 5.207 60.00 60.00 60.00
Positions (direct):
Ac  0.250  0.250  0.250
Hg  0.000  0.000  0.000
Zr  0.750  0.750  0.750

=====

Q: The lowest volume belongs to which entry?
A: number 2

=====

Q: The highest volume belongs to which entry?
A: AcZrHg

=====

Q: Which of these has the lowest volume?
A: number 2

=====

Repeat the first record exactly.
Density functional theory data (PBE-GGA) for AcZnHg after structural relaxation.

Values from the calculation:
excess energy over the best structure of this formula in the dataset = 0.069 eV per atom
space-group type = F-43m, No. 216
total magnetization = 0.5 μB/f.u.
volume = 94.0 Å³/f.u.

Lattice parameters (Å, degrees): 5.103 5.103 5.103 60.00 60.00 60.00
Positions (direct):
Zn  0.750  0.750  0.750
Hg  0.000  0.000  0.000
Ac  0.250  0.250  0.250